A plane-wave DFT calculation with PBE was carried out for NpSBr3 after structural relaxation.

POSCAR file:
```
NpSBr3
1.0
3.896 -7.073 0.000
3.896 7.073 0.000
-0.960 0.000 14.513
Np S Br
4 4 12
direct
0.033 0.128 0.137
0.128 0.033 0.637
0.872 0.967 0.363
0.967 0.872 0.863
0.055 0.699 0.722
0.301 0.945 0.778
0.699 0.055 0.222
0.945 0.301 0.278
0.010 0.774 0.476
0.165 0.273 0.795
0.226 0.990 0.024
0.263 0.491 0.082
0.273 0.165 0.295
0.491 0.263 0.582
0.509 0.737 0.418
0.727 0.835 0.705
0.737 0.509 0.918
0.774 0.010 0.976
0.835 0.727 0.205
0.990 0.226 0.524
```

Output
Energy above the lowest structure with this stoichiometry   0 meV per atom
Total DFT energy (no corrections)   -109.9 eV/cell
Crystal system   monoclinic
Total magnetization   3.00 μB/f.u.
Raw formation energy   -5.4 eV per formula unit